! ErNpPt GGA-PBE relaxed; values from VASP
! Density of states at the Fermi level ... 18.7 states/eV/cell
! Calculated total energy ... -8.083 eV per atom
! Energy of formation ... -0.2351 eV per atom
! Size of the total moment ... 4.031 μB/f.u.
&SYSTEM
  ibrav = 0, nat = 6, ntyp = 3
/
ATOMIC_SPECIES
Pt 195.08 Pt.upf
Np 237.00 Np.upf
Er 167.26 Er.upf
ATOMIC_POSITIONS angstrom
Pt -0.661 -0.664 4.048
Np 1.261 1.267 3.136
Np 0.299 0.300 6.737
Er -1.501 -1.508 9.382
Er 3.060 3.075 0.491
Pt 2.220 2.231 5.825
CELL_PARAMETERS angstrom
3.939 0.042 -0.349
0.023 3.939 -0.349
-2.403 -2.414 10.572